The following is a DFT calculation (GGA+U) of a relaxed FeTc2HgO8 crystal.

a = 5.7813 Å, b = 5.7813 Å, c = 24.7616 Å
α = 90.00°, β = 90.00°, γ = 120.00°
Last column: nearest neighbours and their distance in Å.
Space group R-3m (No. 166, hexagonal axes)
One atom of each set of equivalent atoms:
Fe  0.0000  0.0000  0.0000 x3  6 O 2.04
Tc  0.0000  0.0000  0.2626 x6  4 O 1.71-1.76
Hg  0.0000  0.0000  0.5000 x3  6 O 3.40
O  0.0000  0.0000  0.1935 x6  1 Tc 1.71
O  0.0018  0.5009  0.3799 x18  1 Tc 1.76

Theoretical density = 4.03 Mg/m³
VASP energy = -243.402 eV/cell
M_tot = 12.00 μB/cell